The following is a DFT calculation (GGA-PBE) of UZnSiO6 after structural relaxation.

Results
space-group type: No. 163
uncorrected formation energy: -21.48 eV/f.u.
Fermi-level density of states: 0.00 states/eV/atom
E: -7.690 eV/atom

Geometry as POSCAR:
```
UZnSiO6
1.0
5.162 0.000 0.000
-2.581 4.470 0.000
0.000 0.000 8.895
O Si U Zn
12 2 2 2
Direct
0.374 0.332 0.363
0.374 0.041 0.137
0.668 0.041 0.363
0.626 0.668 0.637
0.959 0.332 0.137
0.332 0.374 0.863
0.668 0.626 0.137
0.332 0.959 0.637
0.959 0.626 0.363
0.626 0.959 0.863
0.041 0.374 0.637
0.041 0.668 0.863
0.667 0.333 0.250
0.333 0.667 0.750
0.667 0.333 0.750
0.333 0.667 0.250
0.000 0.000 0.000
0.000 0.000 0.500
```